[1]
VASP calculation (SCAN) on a PBEsol-optimized structure of AlSbCl2.

Computed properties:
Offset from the most stable computed form ... 0.0 meV per atom
Total energy ... -15.65 eV per atom
Uncorrected formation energy ... -0.411 eV/atom

abc: 3.3332 3.3332 27.1333
angles: 90.00 90.00 120.00
Space group R3m (No. 160, hexagonal axes)
Unique sites:
Al: 0.0000 0.0000 0.0000
Sb: 0.0000 0.0000 0.2460
Cl: 0.0000 0.0000 0.5008
Cl: 0.0000 0.0000 0.7253

[2]
VASP calculation (SCAN) on a PBEsol-optimized structure of Sr2LiTl.

Computed properties:
Offset from the most stable computed form ... 33.5 meV per atom
Total energy ... -30.16 eV per atom

abc: 4.071 4.071 8.250
angles: 90.00 90.00 90.00
Space group P4/mmm (No. 123)
Unique sites:
Sr: 0.000 0.000 0.234
Li: 0.500 0.500 0.500
Tl: 0.500 0.500 0.000